1.
# Ta2BeFe

A relaxed structure of Ta2BeFe (PBE-GGA, Alexandria via LeMat-Bulk).

The value obtained for the formation energy is -0.03 eV per atom. The calculation puts the electronic total energy at -8.9997 eV per atom. For the theoretical density, the calculation gives 12.74 g/cm3. The crystal system is tetragonal. The space-group type is P4mm, No. 99.

Cell and atoms, written as POSCAR:
```
Ta2BeFe
1.0
2.9412 0.0000 0.0000
0.0000 2.9412 0.0000
0.0000 0.0000 6.4299
Ta Be Fe
2 1 1
direct
0.0000 0.0000 0.0000 Ta
0.5000 0.5000 0.3341 Ta
0.0000 0.0000 0.5946 Be
0.5000 0.5000 0.7611 Fe
```

---

2.
# NiAg3S

A relaxed structure of NiAg3S (PBE-GGA, Alexandria via LeMat-Bulk).

The calculation puts the electronic total energy at -2.7947 eV per atom. For the theoretical density, the calculation gives 6.35 g/cm3. The crystal system is cubic. Its uncorrected formation energy is 898 meV per atom. The space-group type is Pm-3m, No. 221.

Cell and atoms, written as POSCAR:
```
NiAg3S
1.0
4.7676 0.0000 0.0000
0.0000 4.7676 0.0000
0.0000 0.0000 4.7676
Ni Ag S
1 3 1
direct
0.0000 0.0000 0.0000 Ni
0.0000 0.0000 0.5000 Ag
0.0000 0.5000 0.0000 Ag
0.5000 0.0000 0.0000 Ag
0.5000 0.5000 0.5000 S
```

---

3.
# La4Sm4Er3

A relaxed structure of La4Sm4Er3 (PBE-GGA, Alexandria via LeMat-Bulk).

The value obtained for the formation energy is 0.06 eV per atom. The calculation puts the electronic total energy at -4.6942 eV per atom. For the theoretical density, the calculation gives 7.41 g/cm3. The crystal system is monoclinic. The space-group type is C2/m, No. 12.

Cell and atoms, written as POSCAR:
```
La4Sm4Er3
1.0
18.2981 -1.7813 0.0000
18.2981 1.7813 0.0000
-0.9072 0.0000 5.7025
La Sm Er
4 4 3
direct
0.0923 0.0923 0.0919 La
0.2290 0.2290 0.7290 La
0.7710 0.7710 0.2710 La
0.9077 0.9077 0.9081 La
0.0446 0.0446 0.5442 Sm
0.1821 0.1821 0.1822 Sm
0.8179 0.8179 0.8178 Sm
0.9554 0.9554 0.4558 Sm
0.3643 0.3643 0.3647 Er
0.5000 0.5000 0.0000 Er
0.6357 0.6357 0.6353 Er
```

---

4.
# LaHoZnPd

A relaxed structure of LaHoZnPd (PBE-GGA, Alexandria via LeMat-Bulk).

The value obtained for the formation energy is -0.54 eV per atom. The calculation puts the electronic total energy at -4.5306 eV per atom. For the theoretical density, the calculation gives 8.27 g/cm3. The crystal system is cubic. The space-group type is F-43m, No. 216.

Cell and atoms, written as POSCAR:
```
LaHoZnPd
1.0
0.0000 3.6281 3.6281
3.6281 0.0000 3.6281
3.6281 3.6281 0.0000
La Ho Zn Pd
1 1 1 1
direct
0.0000 0.0000 0.0000 La
0.5000 0.5000 0.5000 Ho
0.7500 0.7500 0.7500 Zn
0.2500 0.2500 0.2500 Pd
```

---

5.
# Pm4Sm3Y3

A relaxed structure of Pm4Sm3Y3 (PBE-GGA, Alexandria via LeMat-Bulk).

The value obtained for the formation energy is 0.09 eV per atom. The calculation puts the electronic total energy at -5.1629 eV per atom. For the theoretical density, the calculation gives 6.35 g/cm3. The crystal system is orthorhombic. The space-group type is Amm2, No. 38.

Cell and atoms, written as POSCAR:
```
Pm4Sm3Y3
1.0
3.8205 0.0000 0.0000
0.0000 6.6431 6.6812
0.0000 -6.6431 6.6812
Pm Sm Y
4 3 3
direct
0.0000 0.0000 0.0000 Pm
0.0000 0.2617 0.2617 Pm
0.0000 0.4989 0.7601 Pm
0.0000 0.7601 0.4989 Pm
0.5000 0.2985 0.9614 Sm
0.5000 0.4612 0.4612 Sm
0.5000 0.9614 0.2985 Sm
0.0000 0.1268 0.6318 Y
0.0000 0.6318 0.1268 Y
0.5000 0.7994 0.7994 Y
```

---

6.
# CsRbBe2Br6

A relaxed structure of CsRbBe2Br6 (PBE-GGA, Alexandria via LeMat-Bulk).

The calculation puts the electronic total energy at -3.2619 eV per atom. For the theoretical density, the calculation gives 2.83 g/cm3. The crystal system is monoclinic. Its uncorrected formation energy is -1331 meV per atom. The space-group type is C2/c, No. 15.

Cell and atoms, written as POSCAR:
```
CsRbBe2Br6
1.0
6.3457 -7.0364 0.0000
6.3457 7.0364 0.0000
-4.0280 0.0000 9.4073
Cs Rb Be Br
2 2 4 12
direct
0.1477 0.8523 0.7500 Cs
0.8523 0.1477 0.2500 Cs
0.4056 0.5944 0.2500 Rb
0.5944 0.4056 0.7500 Rb
0.1355 0.3580 0.6994 Be
0.3580 0.1355 0.1994 Be
0.6420 0.8645 0.8006 Be
0.8645 0.6420 0.3006 Be
0.0816 0.6072 0.3678 Br
0.1735 0.2027 0.0868 Br
0.2027 0.1735 0.5868 Br
0.2910 0.5193 0.8716 Br
0.3928 0.9184 0.1322 Br
0.4807 0.7090 0.6284 Br
0.5193 0.2910 0.3716 Br
0.6072 0.0816 0.8678 Br
0.7090 0.4807 0.1284 Br
0.7973 0.8265 0.4132 Br
0.8265 0.7973 0.9132 Br
0.9184 0.3928 0.6322 Br
```

---

7.
# Nd2As4PtRh3

A relaxed structure of Nd2As4PtRh3 (PBE-GGA, Alexandria via LeMat-Bulk).

The value obtained for the formation energy is -0.91 eV per atom. The calculation puts the electronic total energy at -6.5298 eV per atom. For the theoretical density, the calculation gives 9.65 g/cm3. The crystal system is tetragonal. The space-group type is P-4m2, No. 115.

Cell and atoms, written as POSCAR:
```
Nd2As4PtRh3
1.0
4.3467 0.0000 0.0000
0.0000 4.3467 0.0000
0.0000 0.0000 9.9454
Nd As Pt Rh
2 4 1 3
direct
0.0000 0.5000 0.2469 Nd
0.5000 0.0000 0.7531 Nd
0.0000 0.0000 0.0000 As
0.0000 0.5000 0.6383 As
0.5000 0.0000 0.3617 As
0.5000 0.5000 0.0000 As
0.0000 0.0000 0.5000 Pt
0.0000 0.5000 0.8820 Rh
0.5000 0.0000 0.1180 Rh
0.5000 0.5000 0.5000 Rh
```

---

8.
# ErZrSc2

A relaxed structure of ErZrSc2 (PBE-GGA, Alexandria via LeMat-Bulk).

The value obtained for the formation energy is 0.05 eV per atom. The calculation puts the electronic total energy at -6.3894 eV per atom. For the theoretical density, the calculation gives 5.70 g/cm3. The crystal system is trigonal. The space-group type is R-3m, No. 166.

Cell and atoms, written as POSCAR:
```
ErZrSc2
1.0
1.6499 0.9526 10.7559
-1.6499 0.9526 10.7559
0.0000 -1.9051 10.7559
Er Zr Sc
1 1 2
direct
0.0000 0.0000 0.0000 Er
0.5000 0.5000 0.5000 Zr
0.2453 0.2453 0.2453 Sc
0.7547 0.7547 0.7547 Sc
```

---

9.
# CsNpInBr6

A relaxed structure of CsNpInBr6 (PBE-GGA, Alexandria via LeMat-Bulk).

The calculation puts the electronic total energy at -4.2381 eV per atom. For the theoretical density, the calculation gives 3.79 g/cm3. The crystal system is trigonal. Its uncorrected formation energy is -1286 meV per atom. The space-group type is P312, No. 149.

Cell and atoms, written as POSCAR:
```
CsNpInBr6
1.0
8.0988 0.0000 0.0000
-4.0494 7.0138 0.0000
0.0000 0.0000 7.4379
Cs Np In Br
1 1 1 6
direct
0.0000 0.0000 0.0000 Cs
0.3333 0.6667 0.5000 Np
0.6667 0.3333 0.5000 In
0.0419 0.3943 0.2854 Br
0.0419 0.6476 0.7146 Br
0.3524 0.3943 0.7146 Br
0.3524 0.9581 0.2854 Br
0.6057 0.6476 0.2854 Br
0.6057 0.9581 0.7146 Br
```

---

10.
# K3InSn2

A relaxed structure of K3InSn2 (PBE-GGA, Alexandria via LeMat-Bulk).

The value obtained for the formation energy is -0.18 eV per atom. The calculation puts the electronic total energy at -2.5204 eV per atom. For the theoretical density, the calculation gives 3.33 g/cm3. The crystal system is monoclinic. The space-group type is C2/m, No. 12.

Cell and atoms, written as POSCAR:
```
K3InSn2
1.0
6.6014 -2.4324 0.0000
6.6014 2.4324 0.0000
-0.1701 0.0000 14.5680
K In Sn
6 2 4
direct
0.1294 0.1294 0.4683 K
0.3394 0.3394 0.7562 K
0.3483 0.3483 0.0830 K
0.6517 0.6517 0.9170 K
0.6606 0.6606 0.2438 K
0.8706 0.8706 0.5317 K
0.0576 0.0576 0.7479 In
0.9424 0.9424 0.2521 In
0.0646 0.0646 0.0804 Sn
0.3856 0.3856 0.3481 Sn
0.6144 0.6144 0.6519 Sn
0.9354 0.9354 0.9196 Sn
```

---

11.
# BaLiHRh2

A relaxed structure of BaLiHRh2 (PBE-GGA, Alexandria via LeMat-Bulk).

The calculation puts the electronic total energy at -3.8793 eV per atom. For the theoretical density, the calculation gives 6.65 g/cm3. The crystal system is tetragonal. The space-group type is P4/mmm, No. 123.

Cell and atoms, written as POSCAR:
```
BaLiHRh2
1.0
4.5184 0.0000 0.0000
0.0000 4.5184 0.0000
0.0000 0.0000 4.2968
Ba Li H Rh
1 1 1 2
direct
0.0000 0.0000 0.0000 Ba
0.5000 0.5000 0.5000 Li
0.5000 0.5000 0.0000 H
0.0000 0.5000 0.5000 Rh
0.5000 0.0000 0.5000 Rh
```

---

12.
# KRe2Rh

A relaxed structure of KRe2Rh (PBE-GGA, Alexandria via LeMat-Bulk).

The value obtained for the formation energy is 0.65 eV per atom. The calculation puts the electronic total energy at -7.6845 eV per atom. For the theoretical density, the calculation gives 10.15 g/cm3. The crystal system is monoclinic. The space-group type is Pm, No. 6.

Cell and atoms, written as POSCAR:
```
KRe2Rh
1.0
2.7279 0.0000 0.0000
0.0000 3.8849 0.0000
-0.3916 0.0000 7.9448
K Re Rh
1 2 1
direct
0.0000 0.0000 0.0000 K
0.4813 0.5000 0.3540 Re
0.8718 0.0000 0.5055 Re
0.4393 0.5000 0.6805 Rh
```

---

13.
# Tb5Pm3Bi8

A relaxed structure of Tb5Pm3Bi8 (PBE-GGA, Alexandria via LeMat-Bulk).

The value obtained for the formation energy is -0.90 eV per atom. The calculation puts the electronic total energy at -5.1786 eV per atom. For the theoretical density, the calculation gives 9.19 g/cm3. The crystal system is trigonal. The space-group type is R-3m, No. 166.

Cell and atoms, written as POSCAR:
```
Tb5Pm3Bi8
1.0
4.5270 2.6137 7.3885
-4.5270 2.6137 7.3885
0.0000 -5.2273 7.3885
Tb Pm Bi
5 3 8
direct
0.0000 0.0000 0.0000 Tb
0.0000 0.5000 0.5000 Tb
0.5000 0.0000 0.5000 Tb
0.5000 0.5000 0.0000 Tb
0.5000 0.5000 0.5000 Tb
0.0000 0.0000 0.5000 Pm
0.0000 0.5000 0.0000 Pm
0.5000 0.0000 0.0000 Pm
0.2500 0.2500 0.7463 Bi
0.2500 0.7463 0.2500 Bi
0.2519 0.2519 0.2519 Bi
0.2537 0.7500 0.7500 Bi
0.7463 0.2500 0.2500 Bi
0.7481 0.7481 0.7481 Bi
0.7500 0.2537 0.7500 Bi
0.7500 0.7500 0.2537 Bi
```

---

14.
# ScInPtC2

A relaxed structure of ScInPtC2 (PBE-GGA, Alexandria via LeMat-Bulk).

The value obtained for the formation energy is 1.40 eV per atom. The calculation puts the electronic total energy at -5.3141 eV per atom. For the theoretical density, the calculation gives 6.76 g/cm3. The crystal system is tetragonal. The space-group type is P4/mmm, No. 123.

Cell and atoms, written as POSCAR:
```
ScInPtC2
1.0
4.0087 0.0000 0.0000
0.0000 4.0087 0.0000
0.0000 0.0000 5.7874
Sc In Pt C
1 1 1 2
direct
0.0000 0.0000 0.0000 Sc
0.5000 0.5000 0.0000 In
0.5000 0.5000 0.5000 Pt
0.0000 0.5000 0.5000 C
0.5000 0.0000 0.5000 C
```

---

15.
# GaGe2F

A relaxed structure of GaGe2F (PBE-GGA, Alexandria via LeMat-Bulk).

The calculation puts the electronic total energy at -3.8970 eV per atom. For the theoretical density, the calculation gives 5.03 g/cm3. The crystal system is tetragonal. Its uncorrected formation energy is -364 meV per atom. The space-group type is I-42d, No. 122.

Cell and atoms, written as POSCAR:
```
GaGe2F
1.0
-2.1928 2.1928 8.0280
2.1928 -2.1928 8.0280
2.1928 2.1928 -8.0280
Ga Ge F
2 4 2
direct
0.0000 0.0000 0.0000 Ga
0.7500 0.2500 0.5000 Ga
0.2066 0.6250 0.0816 Ge
0.3750 0.4566 0.5816 Ge
0.5434 0.1250 0.9184 Ge
0.8750 0.7934 0.4184 Ge
0.2500 0.7500 0.5000 F
0.5000 0.5000 0.0000 F
```

---

16.
# VPtI2N

A relaxed structure of VPtI2N (PBE-GGA, Alexandria via LeMat-Bulk).

The calculation puts the electronic total energy at -4.5688 eV per atom. For the theoretical density, the calculation gives 6.98 g/cm3. The crystal system is tetragonal. Its uncorrected formation energy is 748 meV per atom. The space-group type is P4/mmm, No. 123.

Cell and atoms, written as POSCAR:
```
VPtI2N
1.0
5.7331 0.0000 0.0000
0.0000 5.7331 0.0000
0.0000 0.0000 3.7217
V Pt I N
1 1 2 1
direct
0.0000 0.0000 0.0000 V
0.5000 0.5000 0.5000 Pt
0.0000 0.5000 0.5000 I
0.5000 0.0000 0.5000 I
0.5000 0.5000 0.0000 N
```

---

17.
# InP2Br

A relaxed structure of InP2Br (PBE-GGA, Alexandria via LeMat-Bulk).

The calculation puts the electronic total energy at -3.8229 eV per atom. For the theoretical density, the calculation gives 4.10 g/cm3. The crystal system is monoclinic. Its uncorrected formation energy is -15 meV per atom. The space-group type is Cm, No. 8.

Cell and atoms, written as POSCAR:
```
InP2Br
1.0
5.6035 -1.6684 0.0000
5.6035 1.6684 0.0000
-3.3689 0.0000 5.5564
In P Br
1 2 1
direct
0.0000 0.0000 0.0000 In
0.3618 0.3618 0.4495 P
0.7854 0.7854 0.1865 P
0.1878 0.1878 0.5768 Br
```

---

18.
# Ba2CaTlH

A relaxed structure of Ba2CaTlH (PBE-GGA, Alexandria via LeMat-Bulk).

The calculation puts the electronic total energy at -2.5896 eV per atom. For the theoretical density, the calculation gives 5.28 g/cm3. The crystal system is tetragonal. The space-group type is P4/mmm, No. 123.

Cell and atoms, written as POSCAR:
```
Ba2CaTlH
1.0
5.5949 0.0000 0.0000
0.0000 5.5949 0.0000
0.0000 0.0000 5.2284
Ba Ca Tl H
2 1 1 1
direct
0.0000 0.5000 0.0000 Ba
0.5000 0.0000 0.0000 Ba
0.0000 0.0000 0.5000 Ca
0.5000 0.5000 0.5000 Tl
0.0000 0.0000 0.0000 H
```

---

19.
# TmNpPt6

A relaxed structure of TmNpPt6 (PBE-GGA, Alexandria via LeMat-Bulk).

The value obtained for the formation energy is -0.86 eV per atom. The calculation puts the electronic total energy at -7.5690 eV per atom. For the theoretical density, the calculation gives 18.69 g/cm3. The crystal system is tetragonal. The space-group type is P4/mmm, No. 123.

Cell and atoms, written as POSCAR:
```
TmNpPt6
1.0
4.1213 0.0000 0.0000
0.0000 4.1213 0.0000
0.0000 0.0000 8.2455
Tm Np Pt
1 1 6
direct
0.0000 0.0000 0.0000 Tm
0.0000 0.0000 0.5000 Np
0.0000 0.5000 0.2506 Pt
0.0000 0.5000 0.7494 Pt
0.5000 0.0000 0.2506 Pt
0.5000 0.0000 0.7494 Pt
0.5000 0.5000 0.0000 Pt
0.5000 0.5000 0.5000 Pt
```

---

20.
# DyErBeZn

A relaxed structure of DyErBeZn (PBE-GGA, Alexandria via LeMat-Bulk).

The value obtained for the formation energy is -0.11 eV per atom. The calculation puts the electronic total energy at -3.6560 eV per atom. For the theoretical density, the calculation gives 7.97 g/cm3. The crystal system is cubic. The space-group type is F-43m, No. 216.

Cell and atoms, written as POSCAR:
```
DyErBeZn
1.0
0.0000 3.4791 3.4791
3.4791 0.0000 3.4791
3.4791 3.4791 0.0000
Dy Er Be Zn
1 1 1 1
direct
0.0000 0.0000 0.0000 Dy
0.5000 0.5000 0.5000 Er
0.7500 0.7500 0.7500 Be
0.2500 0.2500 0.2500 Zn
```